Entry 1:
VASP calculation (PBE-GGA) on crystalline LiYTe2 at its relaxed geometry.

Unit cell a=3.916 b=22.391 c=5.973 alpha=90.00 beta=90.00 gamma=90.00
Positions (direct):
Li: 0.000 0.175 0.250
Li: 0.000 0.825 0.750
Li: 0.500 0.325 0.750
Li: 0.500 0.675 0.250
Y: 0.000 0.429 0.250
Y: 0.000 0.571 0.750
Y: 0.500 0.071 0.750
Y: 0.500 0.929 0.250
Te: 0.000 0.301 0.250
Te: 0.000 0.434 0.750
Te: 0.000 0.566 0.250
Te: 0.000 0.699 0.750
Te: 0.500 0.066 0.250
Te: 0.500 0.199 0.750
Te: 0.500 0.801 0.250
Te: 0.500 0.934 0.750

total energy: -70.32 eV per cell
space-group type: Cmcm (63)
size of the total moment: 0.00 Bohr magnetons per cell
D(E_F): 0.00 states/eV per atom
uncorrected formation energy: -70.4 kJ/mol of atoms

=====

Entry 2:
VASP calculation (PBE-GGA) on crystalline AcGePtBr at its relaxed geometry.

Unit cell a=14.245 b=14.245 c=14.245 alpha=18.01 beta=18.01 gamma=18.01
Positions (direct):
Ac: 0.078 0.078 0.078
Ac: 0.922 0.922 0.922
Ge: 0.307 0.307 0.307
Ge: 0.693 0.693 0.693
Pt: 0.368 0.368 0.368
Pt: 0.632 0.632 0.632
Br: 0.208 0.208 0.208
Br: 0.792 0.792 0.792

total energy: -42.53 eV per cell
space-group type: R-3m (166)
size of the total moment: 0.00 Bohr magnetons per cell
D(E_F): 0.50 states/eV per atom
uncorrected formation energy: -116.4 kJ/mol of atoms

=====

Entry 3:
VASP calculation (PBE-GGA) on crystalline Nd6Dy3Tm at its relaxed geometry.

Unit cell a=11.125 b=11.125 c=6.389 alpha=90.00 beta=90.00 gamma=120.93
Positions (direct):
Nd: 0.036 0.964 0.500
Nd: 0.060 0.482 0.967
Nd: 0.280 0.720 0.265
Nd: 0.287 0.373 0.159
Nd: 0.373 0.287 0.659
Nd: 0.482 0.060 0.467
Nd: 0.518 0.940 0.967
Nd: 0.627 0.713 0.159
Nd: 0.713 0.627 0.659
Nd: 0.720 0.280 0.765
Nd: 0.940 0.518 0.467
Nd: 0.964 0.036 0.000
Dy: 0.054 0.282 0.580
Dy: 0.282 0.054 0.080
Dy: 0.386 0.614 0.691
Dy: 0.614 0.386 0.191
Dy: 0.718 0.946 0.580
Dy: 0.946 0.718 0.080
Tm: 0.194 0.806 0.723
Tm: 0.806 0.194 0.223

total energy: -90.97 eV per cell
space-group type: Cmc2_1 (36)
ΔE to the lowest computed polymorph: 0.0 meV per atom
size of the total moment: 0.00 Bohr magnetons per cell
D(E_F): 1.38 states/eV per atom

=====

Entry 4:
VASP calculation (PBE-GGA) on crystalline KAc2AgS4 at its relaxed geometry.

Unit cell a=7.565 b=7.565 c=14.957 alpha=90.00 beta=90.00 gamma=146.52
Positions (direct):
K: 0.111 0.889 0.750
K: 0.889 0.111 0.250
Ac: 0.367 0.633 0.564
Ac: 0.367 0.633 0.936
Ac: 0.633 0.367 0.064
Ac: 0.633 0.367 0.436
Ag: 0.160 0.840 0.250
Ag: 0.840 0.160 0.750
S: 0.000 0.000 0.000
S: 0.000 0.000 0.500
S: 0.264 0.736 0.109
S: 0.264 0.736 0.391
S: 0.439 0.561 0.750
S: 0.561 0.439 0.250
S: 0.736 0.264 0.609
S: 0.736 0.264 0.891

total energy: -83.69 eV per cell
space-group type: Cmcm (63)
size of the total moment: 0.00 Bohr magnetons per cell
D(E_F): 0.00 states/eV per atom
uncorrected formation energy: -158.8 kJ/mol of atoms

=====

Entry 5:
VASP calculation (PBE-GGA) on crystalline Tb3Pm4Tl5 at its relaxed geometry.

Unit cell a=6.559 b=6.559 c=11.418 alpha=92.47 beta=92.47 gamma=50.39
Positions (direct):
Tb: 0.000 0.000 0.000
Tb: 0.273 0.273 0.868
Tb: 0.727 0.727 0.132
Pm: 0.357 0.357 0.554
Pm: 0.414 0.414 0.246
Pm: 0.586 0.586 0.754
Pm: 0.643 0.643 0.446
Tl: 0.083 0.083 0.612
Tl: 0.145 0.145 0.263
Tl: 0.500 0.500 0.000
Tl: 0.855 0.855 0.737
Tl: 0.917 0.917 0.388

total energy: -46.20 eV per cell
space-group type: C2/m (12)
size of the total moment: 0.38 Bohr magnetons per cell
D(E_F): 0.95 states/eV per atom

=====

Entry 6:
VASP calculation (PBE-GGA) on crystalline Er2AlPd3 at its relaxed geometry.

Unit cell a=4.250 b=5.387 c=10.879 alpha=90.00 beta=90.00 gamma=90.00
Positions (direct):
Er: 0.000 0.000 0.187
Er: 0.000 0.000 0.813
Er: 0.500 0.500 0.313
Er: 0.500 0.500 0.687
Al: 0.000 0.000 0.500
Al: 0.500 0.500 0.000
Pd: 0.000 0.500 0.127
Pd: 0.000 0.500 0.500
Pd: 0.000 0.500 0.873
Pd: 0.500 0.000 0.000
Pd: 0.500 0.000 0.373
Pd: 0.500 0.000 0.627

total energy: -65.66 eV per cell
space-group type: Immm (71)
ΔE to the lowest computed polymorph: 169.3 meV per atom
size of the total moment: 0.00 Bohr magnetons per cell
D(E_F): 0.38 states/eV per atom

=====

Entry 7:
VASP calculation (PBE-GGA) on crystalline MgZrNO2 at its relaxed geometry.

Unit cell a=4.126 b=4.126 c=4.229 alpha=90.00 beta=90.00 gamma=90.00
Positions (direct):
Mg: 0.000 0.000 0.000
Zr: 0.500 0.500 0.500
N: 0.500 0.500 0.000
O: 0.000 0.500 0.500
O: 0.500 0.000 0.500

total energy: -35.51 eV per cell
space-group type: P4/mmm (123)
size of the total moment: 0.46 Bohr magnetons per cell
D(E_F): 0.47 states/eV per atom
uncorrected formation energy: -137.5 kJ/mol of atoms

=====

Entry 8:
VASP calculation (PBE-GGA) on crystalline NaSrCuPb at its relaxed geometry.

Unit cell a=7.353 b=7.353 c=7.353 alpha=90.00 beta=90.00 gamma=90.00
Positions (direct):
Na: 0.000 0.000 0.000
Na: 0.000 0.500 0.500
Na: 0.500 0.000 0.500
Na: 0.500 0.500 0.000
Sr: 0.250 0.250 0.250
Sr: 0.250 0.750 0.750
Sr: 0.750 0.250 0.750
Sr: 0.750 0.750 0.250
Cu: 0.000 0.000 0.500
Cu: 0.000 0.500 0.000
Cu: 0.500 0.000 0.000
Cu: 0.500 0.500 0.500
Pb: 0.250 0.250 0.750
Pb: 0.250 0.750 0.250
Pb: 0.750 0.250 0.250
Pb: 0.750 0.750 0.750

total energy: -44.96 eV per cell
space-group type: F-43m (216)
size of the total moment: 0.00 Bohr magnetons per cell
D(E_F): 0.17 states/eV per atom

=====

Entry 9:
VASP calculation (PBE-GGA) on crystalline Dy2YF11 at its relaxed geometry.

Unit cell a=8.645 b=8.645 c=8.645 alpha=122.12 beta=107.45 gamma=99.69
Positions (direct):
Dy: 0.190 0.159 0.349
Dy: 0.310 0.659 0.970
Dy: 0.690 0.341 0.030
Dy: 0.810 0.841 0.651
Y: 0.250 0.750 0.500
Y: 0.750 0.250 0.500
F: 0.000 0.000 0.000
F: 0.028 0.459 0.772
F: 0.058 0.840 0.630
F: 0.187 0.959 0.431
F: 0.194 0.891 0.085
F: 0.210 0.428 0.370
F: 0.290 0.660 0.217
F: 0.306 0.391 0.697
F: 0.313 0.745 0.772
F: 0.442 0.072 0.783
F: 0.472 0.245 0.431
F: 0.500 0.500 0.000
F: 0.528 0.755 0.569
F: 0.558 0.928 0.217
F: 0.687 0.255 0.228
F: 0.694 0.609 0.303
F: 0.710 0.340 0.783
F: 0.790 0.572 0.630
F: 0.806 0.109 0.915
F: 0.813 0.041 0.569
F: 0.942 0.160 0.370
F: 0.972 0.541 0.228

total energy: -169.10 eV per cell
space-group type: Ibam (72)
size of the total moment: 4.21 Bohr magnetons per cell
D(E_F): 0.83 states/eV per atom
uncorrected formation energy: -332.9 kJ/mol of atoms

=====

Entry 10:
VASP calculation (PBE-GGA) on crystalline BaIn2Se at its relaxed geometry.

Unit cell a=4.009 b=4.009 c=28.381 alpha=90.00 beta=90.00 gamma=120.00
Positions (direct):
Ba: 0.000 0.000 0.000
Ba: 0.333 0.667 0.667
Ba: 0.667 0.333 0.333
In: 0.000 0.000 0.232
In: 0.000 0.000 0.768
In: 0.333 0.667 0.435
In: 0.333 0.667 0.898
In: 0.667 0.333 0.102
In: 0.667 0.333 0.565
Se: 0.000 0.000 0.500
Se: 0.333 0.667 0.167
Se: 0.667 0.333 0.833

total energy: -36.61 eV per cell
space-group type: R-3m (166)
size of the total moment: 0.01 Bohr magnetons per cell
D(E_F): 0.64 states/eV per atom
uncorrected formation energy: -31.8 kJ/mol of atoms